An optimized crystal structure of FeRuSe2, computed with PBE-GGA.

SG = No. 119
electronic total energy = -0.210 hartree per atom

a = 5.2340 Å, b = 5.2340 Å, c = 5.2340 Å
α = 138.31°, β = 138.31°, γ = 60.42°
Last column: nearest neighbours and their distance in Å.
Fractional positions:
Ru: 0.7500 0.2500 0.5000  8 Se 2.63-2.93, 4 Fe 2.93
Se: 0.0000 0.0000 0.0000  4 Fe 2.63, 4 Se 2.93, 4 Ru 2.93
Se: 0.2500 0.7500 0.5000  4 Ru 2.63, 4 Se 2.93, 4 Fe 2.93
Fe: 0.5000 0.5000 0.0000  8 Se 2.63-2.93, 4 Ru 2.93